First-principles (GGA-PBE) data for a relaxed structure of Ce4Nd3Ge4, as listed in Alexandria.

Lattice parameters (Å, degrees): 3.9574 8.5509 9.9424 115.47 101.48 90.00
Fractional coordinates of all 11 atoms:
Ge 0.7257 0.2257 0.4514
Ge 0.2743 0.7743 0.5486
Ge 0.5000 0.7764 0.0000
Ge 0.5000 0.2236 0.0000
Ce 0.6705 0.8332 0.3410
Ce 0.6705 0.5078 0.3410
Ce 0.3295 0.4922 0.6590
Ce 0.3295 0.1668 0.6590
Nd 0.0000 0.5000 0.0000
Nd 0.9048 0.9048 0.8097
Nd 0.0952 0.0952 0.1903

total energy = -5.74 eV/atom
energy relative to the elements = -58.03 kJ per mole of atoms

---

First-principles (GGA-PBE) data for a relaxed structure of Ce2Nd5Ge4, as listed in Alexandria.

Lattice parameters (Å, degrees): 3.6020 7.0883 13.0813 89.98 97.91 90.00
Fractional coordinates of all 11 atoms:
Ge 0.9757 0.3459 0.9514
Ge 0.6722 0.5083 0.3444
Ge 0.3278 0.4917 0.6556
Ge 0.0243 0.6541 0.0486
Ce 0.9073 0.6918 0.8146
Ce 0.0927 0.3082 0.1854
Nd 0.2321 0.2478 0.4641
Nd 0.7679 0.7522 0.5359
Nd 0.5000 0.0000 0.0000
Nd 0.1321 0.8161 0.2642
Nd 0.8679 0.1839 0.7358

total energy = -5.21 eV/atom
energy relative to the elements = -27.70 kJ per mole of atoms

---

First-principles (GGA-PBE) data for a relaxed structure of CeNd2Ge3, as listed in Alexandria.

Lattice parameters (Å, degrees): 4.2779 6.0565 7.4081 114.13 106.78 90.00
Fractional coordinates of all 6 atoms:
Ce 0.0000 0.5000 0.0000
Nd 0.6694 0.1694 0.3388
Nd 0.3306 0.8306 0.6612
Ge 0.0000 0.0000 0.0000
Ge 0.6598 0.6598 0.3195
Ge 0.3402 0.3402 0.6805

total energy = -5.53 eV/atom
energy relative to the elements = -62.52 kJ per mole of atoms

---

First-principles (GGA-PBE) data for a relaxed structure of CeNd2Ge6, as listed in Alexandria.

Lattice parameters (Å, degrees): 4.0797 7.6439 7.6439 120.00 90.00 90.00
Fractional coordinates of all 9 atoms:
Ge 0.5000 0.6671 0.0000
Ge 0.5000 0.3329 0.3329
Ge 0.5000 0.0000 0.3329
Ge 0.5000 0.3329 0.0000
Ge 0.5000 0.6671 0.6671
Ge 0.5000 0.0000 0.6671
Nd 0.0000 0.6667 0.3333
Nd 0.0000 0.3333 0.6667
Ce 0.0000 0.0000 0.0000

total energy = -5.37 eV/atom
energy relative to the elements = -55.62 kJ per mole of atoms

---

First-principles (GGA-PBE) data for a relaxed structure of Ce4NdGe4, as listed in Alexandria.

Lattice parameters (Å, degrees): 6.1276 8.9286 8.9286 90.00 90.00 90.00
Fractional coordinates of all 18 atoms:
Ce 0.8425 0.6125 0.8050
Ce 0.3425 0.3050 0.8875
Ce 0.8425 0.3875 0.1950
Ce 0.3425 0.6950 0.1125
Ce 0.1575 0.1950 0.6125
Ce 0.1575 0.8050 0.3875
Ce 0.6575 0.8875 0.6950
Ce 0.6575 0.1125 0.3050
Ge 0.3442 0.6244 0.7839
Ge 0.3442 0.3756 0.2161
Ge 0.6558 0.2161 0.6244
Ge 0.1558 0.1244 0.2839
Ge 0.1558 0.8756 0.7161
Ge 0.8442 0.7161 0.1244
Ge 0.6558 0.7839 0.3756
Ge 0.8442 0.2839 0.8756
Nd 0.5000 0.5000 0.5000
Nd 0.0000 0.0000 0.0000

total energy = -5.69 eV/atom
energy relative to the elements = -45.09 kJ per mole of atoms

---

First-principles (GGA-PBE) data for a relaxed structure of CeNd3Ge3, as listed in Alexandria.

Lattice parameters (Å, degrees): 5.9554 9.1121 9.1121 120.00 90.00 90.00
Fractional coordinates of all 14 atoms:
Nd 0.2500 0.0207 0.6954
Nd 0.7500 0.9793 0.3046
Nd 0.7500 0.6954 0.6747
Nd 0.7500 0.3253 0.0207
Nd 0.2500 0.6747 0.9793
Nd 0.2500 0.3046 0.3253
Ce 0.2500 0.6667 0.3333
Ce 0.7500 0.3333 0.6667
Ge 0.2500 0.3501 0.0010
Ge 0.2500 0.9990 0.3491
Ge 0.7500 0.6499 0.9990
Ge 0.2500 0.6509 0.6499
Ge 0.7500 0.0010 0.6509
Ge 0.7500 0.3491 0.3501

total energy = -5.42 eV/atom
energy relative to the elements = -53.13 kJ per mole of atoms